DFT (PBE+U) results for a relaxed Ga2CoS2O2 crystal.

Summary:
DOS at the Fermi energy = 4.2 states/eV/f.u.
Symmetry = I4/mmm, No. 139
E = -0.1531 hartree per atom
Calculated volume = 16.8 A^3/atom

a = 8.902 Å, b = 8.902 Å, c = 8.902 Å
α = 155.89°, β = 155.89°, γ = 34.36°
Positions (direct):
1 Co 0.000 0.000 0.000
2 O 0.500 0.000 0.500
3 O 0.000 0.500 0.500
4 S 0.859 0.859 0.000
5 S 0.141 0.141 0.000
6 Ga 0.250 0.750 0.500
7 Ga 0.750 0.250 0.500